LaTlNi2 after structural relaxation, computed with PBE.

Output
ΔH_f (0 K) = 0.178 eV/atom
Volume = 82.7 Å³/cell
Crystal system = cubic
SG = F-43m (216)

abc: 4.8909 4.8909 4.8909
angles: 60.00 60.00 60.00
Sites, in units of the cell vectors:
La 0.0000 0.0000 0.0000
Tl 0.2500 0.2500 0.2500
Ni 0.5000 0.5000 0.5000
Ni 0.7500 0.7500 0.7500

---

LaTl2Ni2 after structural relaxation, computed with PBE.

Output
ΔH_f (0 K) = -0.105 eV/atom
Volume = 108.9 Å³/cell
Crystal system = tetragonal
SG = I4/mmm (139)

abc: 6.3996 6.3996 6.3996
angles: 139.65 139.65 58.39
Sites, in units of the cell vectors:
La 0.0000 0.0000 0.0000
Tl 0.2500 0.7500 0.5000
Tl 0.7500 0.2500 0.5000
Ni 0.3970 0.3970 0.0000
Ni 0.6030 0.6030 0.0000

---

The lowest volume belongs to which entry?
LaTlNi2